Compound: Sr2AgRh3O8
Source: the Alexandria database
Functional: PBE-GGA
Structure: relaxed

The structure in CIF format:
```
data_Sr2AgRh3O8
_cell_length_a 6.428
_cell_length_b 6.428
_cell_length_c 6.725
_cell_angle_alpha 61.45
_cell_angle_beta 61.45
_cell_angle_gamma 60.00
_space_group_name_H-M_alt 'P 1'
_space_group_IT_number 1
loop_
_space_group_symop_operation_xyz
'x,y,z'
loop_
_atom_site_label
_atom_site_fract_x
_atom_site_fract_y
_atom_site_fract_z
O1 0.729 0.729 0.814
O2 0.270 0.270 0.189
O3 0.248 0.248 0.819
O4 0.306 0.757 0.179
O5 0.248 0.685 0.819
O6 0.757 0.757 0.179
O7 0.685 0.248 0.819
O8 0.757 0.306 0.179
Sr1 0.502 0.502 0.494
Sr2 0.121 0.121 0.638
Rh1 0.999 0.499 0.003
Rh2 0.499 0.999 0.003
Rh3 0.499 0.499 0.003
Ag1 0.873 0.873 0.382
```

Summary:
Its total energy is -85.44 eV per cell. The value obtained for the formation energy without anion corrections is -17.5 eV/f.u.

=====

Compound: UPaBi
Source: the Alexandria database
Functional: PBE-GGA
Structure: relaxed

The structure in CIF format:
```
data_UPaBi
_cell_length_a 4.033
_cell_length_b 5.072
_cell_length_c 7.721
_cell_angle_alpha 90.00
_cell_angle_beta 90.00
_cell_angle_gamma 90.00
_space_group_name_H-M_alt 'P 1'
_space_group_IT_number 1
loop_
_space_group_symop_operation_xyz
'x,y,z'
loop_
_atom_site_label
_atom_site_fract_x
_atom_site_fract_y
_atom_site_fract_z
Pa1 0.500 0.500 0.257
Pa2 0.000 0.000 0.743
U1 0.500 0.000 0.968
U2 0.000 0.500 0.032
Bi1 0.000 0.000 0.312
Bi2 0.500 0.500 0.688
```

Summary:
The energy of formation comes out at 0.0263 eV per atom. The excess energy over the best structure of this formula in the dataset is 0 meV/atom. Its total energy is -49.17 eV per cell.

=====

Compound: TiSn2AsPb
Source: the Alexandria database
Functional: PBE-GGA
Structure: relaxed

The structure in CIF format:
```
data_TiSn2AsPb
_cell_length_a 5.305
_cell_length_b 5.434
_cell_length_c 5.305
_cell_angle_alpha 90.00
_cell_angle_beta 90.00
_cell_angle_gamma 90.00
_space_group_name_H-M_alt 'P 1'
_space_group_IT_number 1
loop_
_space_group_symop_operation_xyz
'x,y,z'
loop_
_atom_site_label
_atom_site_fract_x
_atom_site_fract_y
_atom_site_fract_z
Pb1 0.000 0.500 0.000
Ti1 0.500 0.500 0.500
Sn1 0.500 0.000 0.000
Sn2 0.000 0.000 0.500
As1 0.000 0.000 0.000
```

Summary:
The energy of formation comes out at 0.8733 eV per atom. Its total energy is -19.89 eV per cell.